(1)
Material: CeY3Sc2P6
Method: DFT, PBE
State: relaxed

Summary:
Spin magnetization in μB/f.u.: 0.002
Calculated total energy in eV for the cell shown: -88.97
Energy relative to the elements in eV per atom: -1.5433
Space group: C2/m, No. 12

Cell: 6.821 6.821 6.837 Å, 99.60 99.60 120.00°
Fractional positions:
1 Ce 0.000 0.000 0.000
2 Y 0.165 0.835 0.500
3 Y 0.835 0.165 0.500
4 Y 0.500 0.500 0.500
5 Sc 0.333 0.667 0.000
6 Sc 0.667 0.333 0.000
7 P 0.920 0.579 0.760
8 P 0.738 0.738 0.238
9 P 0.080 0.421 0.240
10 P 0.579 0.920 0.760
11 P 0.262 0.262 0.762
12 P 0.421 0.080 0.240

***

(2)
Material: Li3LaS
Method: DFT, PBE
State: relaxed

Summary:
Spin magnetization in μB/f.u.: 3.457
Uncorrected formation energy in eV/atom: 1.1122
Calculated total energy in eV for the cell shown: -9.24
Space group: Pm-3m, No. 221
Relative energy among the computed polymorphs in meV/atom: 1437

Cell: 5.586 5.586 5.586 Å, 90.00 90.00 90.00°
Site moments in Bohr magnetons follow the coordinates.
Fractional positions:
1 S 0.500 0.500 0.500  -0.04
2 Li 0.000 0.500 0.000  0.07
3 Li 0.000 0.000 0.500  0.06
4 Li 0.500 0.000 0.000  0.08
5 La 0.000 0.000 0.000  1.20

***

(3)
Material: ZnCd2Te
Method: DFT, PBE
State: relaxed

Summary:
Spin magnetization in μB/f.u.: 0.000
Uncorrected formation energy in eV/atom: 0.1224
Calculated total energy in eV for the cell shown: -5.76
Space group: Fm-3m, No. 225
Relative energy among the computed polymorphs in meV/atom: 145

Cell: 5.221 5.221 5.221 Å, 60.00 60.00 60.00°
Fractional positions:
1 Zn 0.000 0.000 0.000
2 Te 0.500 0.500 0.500
3 Cd 0.250 0.250 0.250
4 Cd 0.750 0.750 0.750

***

What is the formula in the third record?
ZnCd2Te